! Rb3Pm2CdS6 PBE optimized geometry; values from VASP
! crystal system = monoclinic
! M_tot = 0.6 μB/f.u.
! Fermi-level density of states = 1.272 states/eV/atom
! formation energy without anion corrections = -1573 kJ/mol of formula units
&SYSTEM
  ibrav = 0, nat = 12, ntyp = 4
/
ATOMIC_SPECIES
S 32.06 S.upf
Rb 85.47 Rb.upf
Pm 145.00 Pm.upf
Cd 112.41 Cd.upf
CELL_PARAMETERS angstrom
-6.569 -0.684 2.800
5.384 -4.050 2.464
2.068 6.994 3.504
ATOMIC_POSITIONS crystal
S 0.266 0.266 0.804
S 0.603 0.934 0.803
S 0.934 0.603 0.803
S 0.066 0.397 0.197
S 0.397 0.066 0.197
S 0.734 0.734 0.196
Rb 0.500 0.500 0.500
Rb 0.165 0.835 0.500
Rb 0.835 0.165 0.500
Pm 0.667 0.333 0.000
Pm 0.333 0.667 0.000
Cd 0.000 0.000 0.000



! RbPmCdSe3 PBE optimized geometry; values from VASP
! crystal system = monoclinic
! M_tot = 0.0 μB/f.u.
! Fermi-level density of states = 0.000 states/eV/atom
! formation energy without anion corrections = -775 kJ/mol of formula units
&SYSTEM
  ibrav = 0, nat = 12, ntyp = 4
/
ATOMIC_SPECIES
Cd 112.41 Cd.upf
Se 78.96 Se.upf
Rb 85.47 Rb.upf
Pm 145.00 Pm.upf
CELL_PARAMETERS angstrom
4.362 0.000 0.000
0.000 9.332 -0.355
0.000 -2.834 10.043
ATOMIC_POSITIONS crystal
Cd 0.250 0.085 0.611
Cd 0.750 0.915 0.389
Se 0.750 0.465 0.153
Se 0.250 0.782 0.457
Se 0.250 0.535 0.847
Se 0.750 0.890 0.132
Se 0.250 0.110 0.868
Se 0.750 0.218 0.543
Rb 0.250 0.214 0.236
Rb 0.750 0.786 0.764
Pm 0.250 0.671 0.136
Pm 0.750 0.329 0.864



! Rb2PmCd2Te4 PBE optimized geometry; values from VASP
! crystal system = monoclinic
! M_tot = 0.0 μB/f.u.
! Fermi-level density of states = 0.495 states/eV/atom
! formation energy without anion corrections = -766 kJ/mol of formula units
&SYSTEM
  ibrav = 0, nat = 9, ntyp = 4
/
ATOMIC_SPECIES
Pm 145.00 Pm.upf
Te 127.60 Te.upf
Rb 85.47 Rb.upf
Cd 112.41 Cd.upf
CELL_PARAMETERS angstrom
4.559 0.000 0.000
0.000 9.027 0.036
-2.280 -3.529 8.165
ATOMIC_POSITIONS crystal
Pm 0.000 0.000 0.000
Te 0.478 0.230 0.957
Te 0.522 0.770 0.043
Te 0.191 0.215 0.383
Te 0.809 0.785 0.617
Rb 0.127 0.567 0.255
Rb 0.873 0.433 0.745
Cd 0.312 0.996 0.624
Cd 0.688 0.004 0.376



! RbPmCdTe3 PBE optimized geometry; values from VASP
! crystal system = monoclinic
! M_tot = 0.0 μB/f.u.
! Fermi-level density of states = 0.000 states/eV/atom
! formation energy without anion corrections = -621 kJ/mol of formula units
&SYSTEM
  ibrav = 0, nat = 12, ntyp = 4
/
ATOMIC_SPECIES
Rb 85.47 Rb.upf
Te 127.60 Te.upf
Pm 145.00 Pm.upf
Cd 112.41 Cd.upf
CELL_PARAMETERS angstrom
-4.462 0.126 1.114
-0.817 -9.624 -2.181
2.681 0.947 10.628
ATOMIC_POSITIONS crystal
Rb 0.750 0.784 0.757
Rb 0.250 0.216 0.243
Te 0.750 0.897 0.129
Te 0.250 0.103 0.871
Te 0.750 0.466 0.160
Te 0.750 0.224 0.542
Te 0.250 0.776 0.458
Te 0.250 0.534 0.840
Pm 0.250 0.674 0.136
Pm 0.750 0.326 0.864
Cd 0.250 0.084 0.610
Cd 0.750 0.916 0.390



! Pm4CdRe PBE optimized geometry; values from VASP
! crystal system = monoclinic
! DFT formation energy = -6.8 kJ/mol of atoms
! M_tot = 0.0 μB/f.u.
! Fermi-level density of states = 0.998 states/eV/atom
&SYSTEM
  ibrav = 0, nat = 12, ntyp = 3
/
ATOMIC_SPECIES
Pm 145.00 Pm.upf
Re 186.21 Re.upf
Cd 112.41 Cd.upf
CELL_PARAMETERS angstrom
6.236 0.261 -1.206
-2.187 7.170 -2.761
0.202 -0.272 7.981
ATOMIC_POSITIONS crystal
Pm 0.454 0.723 0.063
Pm 0.392 0.798 0.640
Pm 0.892 0.640 0.798
Pm 0.108 0.360 0.202
Pm 0.546 0.277 0.937
Pm 0.046 0.937 0.277
Pm 0.954 0.063 0.723
Pm 0.608 0.202 0.360
Re 0.250 0.000 0.000
Re 0.750 0.000 0.000
Cd 0.250 0.376 0.624
Cd 0.750 0.624 0.376



! Pm4Cd2Rh PBE optimized geometry; values from VASP
! crystal system = tetragonal
! DFT formation energy = -18.2 kJ/mol of atoms
! M_tot = 0.0 μB/f.u.
! Fermi-level density of states = 1.017 states/eV/atom
&SYSTEM
  ibrav = 0, nat = 7, ntyp = 3
/
ATOMIC_SPECIES
Pm 145.00 Pm.upf
Rh 102.91 Rh.upf
Cd 112.41 Cd.upf
CELL_PARAMETERS angstrom
5.414 0.000 0.000
0.000 5.414 0.000
-2.707 -2.707 7.768
ATOMIC_POSITIONS crystal
Pm 0.500 0.000 0.000
Pm 0.000 0.500 0.000
Pm 0.818 0.818 0.636
Pm 0.182 0.182 0.364
Rh 0.000 0.000 0.000
Cd 0.620 0.620 0.239
Cd 0.380 0.380 0.761



! Pm5CdRh6 PBE optimized geometry; values from VASP
! crystal system = orthorhombic
! DFT formation energy = -59.7 kJ/mol of atoms
! M_tot = 0.0 μB/f.u.
! Fermi-level density of states = 0.515 states/eV/atom
&SYSTEM
  ibrav = 0, nat = 12, ntyp = 3
/
ATOMIC_SPECIES
Rh 102.91 Rh.upf
Pm 145.00 Pm.upf
Cd 112.41 Cd.upf
CELL_PARAMETERS angstrom
4.631 -0.028 1.543
0.037 6.989 0.012
-0.002 -0.014 7.725
ATOMIC_POSITIONS crystal
Rh 0.832 0.248 0.336
Rh 0.500 0.742 0.000
Rh 0.168 0.248 0.664
Rh 0.168 0.752 0.664
Rh 0.832 0.752 0.336
Rh 0.500 0.258 0.000
Pm 0.342 0.000 0.315
Pm 0.334 0.500 0.333
Pm 0.658 0.000 0.685
Pm 0.000 0.500 0.000
Pm 0.666 0.500 0.667
Cd 0.000 0.000 0.000



! Pm7CdRh2 PBE optimized geometry; values from VASP
! crystal system = orthorhombic
! DFT formation energy = -15.7 kJ/mol of atoms
! M_tot = 0.0 μB/f.u.
! Fermi-level density of states = 1.080 states/eV/atom
&SYSTEM
  ibrav = 0, nat = 10, ntyp = 3
/
ATOMIC_SPECIES
Pm 145.00 Pm.upf
Rh 102.91 Rh.upf
Cd 112.41 Cd.upf
CELL_PARAMETERS angstrom
5.326 0.000 0.000
0.000 8.323 0.230
0.000 -3.466 7.571
ATOMIC_POSITIONS crystal
Pm 0.000 0.707 0.293
Pm 0.000 0.293 0.707
Pm 0.500 0.689 0.945
Pm 0.500 0.945 0.689
Pm 0.500 0.500 0.500
Pm 0.500 0.055 0.311
Pm 0.500 0.311 0.055
Rh 0.500 0.704 0.296
Rh 0.500 0.296 0.704
Cd 0.000 0.000 0.000



! Pm6Cd3Rh PBE optimized geometry; values from VASP
! crystal system = monoclinic
! DFT formation energy = -29.4 kJ/mol of atoms
! M_tot = 0.0 μB/f.u.
! Fermi-level density of states = 0.963 states/eV/atom
&SYSTEM
  ibrav = 0, nat = 20, ntyp = 3
/
ATOMIC_SPECIES
Cd 112.41 Cd.upf
Pm 145.00 Pm.upf
Rh 102.91 Rh.upf
CELL_PARAMETERS angstrom
5.407 0.000 0.000
0.000 8.748 -2.952
0.000 0.054 11.751
ATOMIC_POSITIONS crystal
Cd 0.750 0.589 0.216
Cd 0.750 0.486 0.631
Cd 0.250 0.514 0.369
Cd 0.250 0.411 0.784
Cd 0.750 0.230 0.027
Cd 0.250 0.770 0.973
Pm 0.250 0.098 0.854
Pm 0.750 0.146 0.671
Pm 0.250 0.464 0.085
Pm 0.750 0.774 0.498
Pm 0.250 0.854 0.329
Pm 0.750 0.321 0.337
Pm 0.750 0.902 0.146
Pm 0.250 0.226 0.502
Pm 0.750 0.871 0.848
Pm 0.250 0.129 0.152
Pm 0.250 0.679 0.663
Pm 0.750 0.536 0.915
Rh 0.250 0.957 0.594
Rh 0.750 0.043 0.406



! Pm3Cd4Rh4 PBE optimized geometry; values from VASP
! crystal system = orthorhombic
! DFT formation energy = -41.9 kJ/mol of atoms
! M_tot = 0.0 μB/f.u.
! Fermi-level density of states = 0.442 states/eV/atom
&SYSTEM
  ibrav = 0, nat = 11, ntyp = 3
/
ATOMIC_SPECIES
Rh 102.91 Rh.upf
Pm 145.00 Pm.upf
Cd 112.41 Cd.upf
CELL_PARAMETERS angstrom
-3.254 2.228 0.221
-4.438 -6.255 -2.298
2.946 -0.021 8.315
ATOMIC_POSITIONS crystal
Rh 0.753 0.253 0.506
Rh 0.500 0.806 0.000
Rh 0.500 0.194 0.000
Rh 0.247 0.747 0.494
Pm 0.114 0.114 0.228
Pm 0.886 0.886 0.772
Pm 0.000 0.500 0.000
Cd 0.670 0.482 0.339
Cd 0.670 0.857 0.339
Cd 0.330 0.518 0.661
Cd 0.330 0.143 0.661



! Pm2Cd3Rh PBE optimized geometry; values from VASP
! crystal system = orthorhombic
! DFT formation energy = -37.5 kJ/mol of atoms
! M_tot = 0.0 μB/f.u.
! Fermi-level density of states = 0.833 states/eV/atom
&SYSTEM
  ibrav = 0, nat = 6, ntyp = 3
/
ATOMIC_SPECIES
Rh 102.91 Rh.upf
Pm 145.00 Pm.upf
Cd 112.41 Cd.upf
CELL_PARAMETERS angstrom
-0.705 3.424 0.837
-3.783 -0.012 -3.138
-5.099 -2.554 6.156
ATOMIC_POSITIONS crystal
Rh 0.500 0.500 0.326
Pm 0.000 0.000 0.471
Pm 0.000 0.500 0.052
Cd 0.500 0.000 0.827
Cd 0.500 0.500 0.660
Cd 0.500 0.000 0.164



! Pm2Cd3Rh2 PBE optimized geometry; values from VASP
! crystal system = monoclinic
! DFT formation energy = -45.4 kJ/mol of atoms
! M_tot = 0.0 μB/f.u.
! Fermi-level density of states = 0.636 states/eV/atom
&SYSTEM
  ibrav = 0, nat = 7, ntyp = 3
/
ATOMIC_SPECIES
Cd 112.41 Cd.upf
Pm 145.00 Pm.upf
Rh 102.91 Rh.upf
CELL_PARAMETERS angstrom
4.227 0.000 0.000
-2.113 5.066 0.077
0.000 -1.071 7.379
ATOMIC_POSITIONS crystal
Cd 0.000 0.000 0.000
Cd 0.309 0.618 0.130
Cd 0.691 0.382 0.870
Pm 0.625 0.249 0.358
Pm 0.375 0.751 0.642
Rh 0.090 0.180 0.649
Rh 0.910 0.820 0.351



! Pm3CdRh4 PBE optimized geometry; values from VASP
! crystal system = tetragonal
! DFT formation energy = -55.5 kJ/mol of atoms
! M_tot = 0.0 μB/f.u.
! Fermi-level density of states = 0.497 states/eV/atom
&SYSTEM
  ibrav = 0, nat = 16, ntyp = 3
/
ATOMIC_SPECIES
Pm 145.00 Pm.upf
Rh 102.91 Rh.upf
Cd 112.41 Cd.upf
CELL_PARAMETERS angstrom
-1.746 -3.671 -2.609
1.049 -4.319 5.376
-8.891 1.906 3.267
ATOMIC_POSITIONS crystal
Pm 0.000 0.000 0.000
Pm 0.500 0.000 0.750
Pm 0.500 0.500 0.750
Pm 0.000 0.000 0.500
Pm 0.500 0.500 0.250
Pm 0.500 0.000 0.250
Rh 0.000 0.750 0.250
Rh 0.500 0.250 0.500
Rh 0.500 0.750 0.000
Rh 0.000 0.250 0.250
Rh 0.000 0.750 0.750
Rh 0.500 0.250 0.000
Rh 0.500 0.750 0.500
Rh 0.000 0.250 0.750
Cd 0.000 0.500 0.000
Cd 0.000 0.500 0.500



! Pm3Cd2Rh2 PBE optimized geometry; values from VASP
! crystal system = orthorhombic
! DFT formation energy = -48.4 kJ/mol of atoms
! M_tot = 0.2 μB/f.u.
! Fermi-level density of states = 0.675 states/eV/atom
&SYSTEM
  ibrav = 0, nat = 7, ntyp = 3
/
ATOMIC_SPECIES
Pm 145.00 Pm.upf
Cd 112.41 Cd.upf
Rh 102.91 Rh.upf
CELL_PARAMETERS angstrom
3.927 0.000 0.521
0.000 3.862 0.000
0.459 0.000 11.596
ATOMIC_POSITIONS crystal
Pm 0.824 0.000 0.352
Pm 0.000 0.000 0.000
Pm 0.176 0.000 0.648
Cd 0.585 0.500 0.829
Cd 0.415 0.500 0.171
Rh 0.710 0.500 0.580
Rh 0.290 0.500 0.420



! Pm6CdRh2 PBE optimized geometry; values from VASP
! crystal system = orthorhombic
! DFT formation energy = -43.6 kJ/mol of atoms
! M_tot = 0.0 μB/f.u.
! Fermi-level density of states = 0.929 states/eV/atom
&SYSTEM
  ibrav = 0, nat = 18, ntyp = 3
/
ATOMIC_SPECIES
Pm 145.00 Pm.upf
Rh 102.91 Rh.upf
Cd 112.41 Cd.upf
CELL_PARAMETERS angstrom
-6.035 5.751 -2.505
-1.520 -8.058 -2.922
0.091 -0.782 8.669
ATOMIC_POSITIONS crystal
Pm 0.200 0.765 0.965
Pm 0.109 0.289 0.820
Pm 0.800 0.235 0.035
Pm 0.692 0.365 0.672
Pm 0.200 0.235 0.435
Pm 0.531 0.711 0.820
Pm 0.692 0.020 0.328
Pm 0.469 0.289 0.180
Pm 0.308 0.635 0.328
Pm 0.891 0.711 0.180
Pm 0.800 0.765 0.565
Pm 0.308 0.980 0.672
Rh 0.667 0.000 0.667
Rh 0.500 0.368 0.868
Rh 0.333 0.000 0.333
Rh 0.500 0.632 0.132
Cd 0.000 0.000 0.000
Cd 0.000 0.500 0.500



! Pm7CdRh4 PBE optimized geometry; values from VASP
! crystal system = monoclinic
! DFT formation energy = -35.7 kJ/mol of atoms
! M_tot = 0.0 μB/f.u.
! Fermi-level density of states = 0.691 states/eV/atom
&SYSTEM
  ibrav = 0, nat = 12, ntyp = 3
/
ATOMIC_SPECIES
Pm 145.00 Pm.upf
Rh 102.91 Rh.upf
Cd 112.41 Cd.upf
CELL_PARAMETERS angstrom
-3.557 2.161 -3.879
-7.824 -3.444 1.082
-4.146 5.509 2.699
ATOMIC_POSITIONS crystal
Pm 0.206 0.117 0.471
Pm 0.079 0.623 0.219
Pm 0.794 0.883 0.529
Pm 0.324 0.627 0.725
Pm 0.921 0.377 0.781
Pm 0.500 0.000 0.000
Pm 0.676 0.373 0.275
Rh 0.702 0.661 0.934
Rh 0.298 0.339 0.066
Rh 0.435 0.777 0.353
Rh 0.565 0.223 0.647
Cd 0.000 0.000 0.000



! Pm8Cd2Rh3 PBE optimized geometry; values from VASP
! crystal system = monoclinic
! DFT formation energy = -30.3 kJ/mol of atoms
! M_tot = 0.0 μB/f.u.
! Fermi-level density of states = 1.283 states/eV/atom
&SYSTEM
  ibrav = 0, nat = 13, ntyp = 3
/
ATOMIC_SPECIES
Cd 112.41 Cd.upf
Pm 145.00 Pm.upf
Rh 102.91 Rh.upf
CELL_PARAMETERS angstrom
-4.761 -0.136 -1.708
2.925 4.729 -8.528
-0.091 -8.770 0.954
ATOMIC_POSITIONS crystal
Cd 0.500 0.744 0.493
Cd 0.500 0.256 0.507
Pm 0.500 0.125 0.767
Pm 0.500 0.635 0.778
Pm 0.000 0.620 0.227
Pm 0.000 0.879 0.771
Pm 0.500 0.365 0.222
Pm 0.000 0.121 0.229
Pm 0.500 0.875 0.233
Pm 0.000 0.380 0.773
Rh 0.000 0.746 0.002
Rh 0.500 0.000 0.000
Rh 0.000 0.254 0.998



! Pm2Cd2Rh15 PBE optimized geometry; values from VASP
! crystal system = trigonal
! DFT formation energy = -17.4 kJ/mol of atoms
! M_tot = 0.0 μB/f.u.
! Fermi-level density of states = 1.488 states/eV/atom
&SYSTEM
  ibrav = 0, nat = 19, ntyp = 3
/
ATOMIC_SPECIES
Pm 145.00 Pm.upf
Rh 102.91 Rh.upf
Cd 112.41 Cd.upf
CELL_PARAMETERS angstrom
-2.798 -6.252 -0.570
1.784 -1.139 -6.539
5.706 -3.608 1.290
ATOMIC_POSITIONS crystal
Pm 0.348 0.348 0.348
Pm 0.652 0.652 0.652
Rh 0.000 0.500 0.000
Rh 0.304 0.000 0.696
Rh 0.157 0.649 0.649
Rh 0.696 0.000 0.304
Rh 0.000 0.304 0.696
Rh 0.696 0.304 0.000
Rh 0.649 0.649 0.157
Rh 0.843 0.351 0.351
Rh 0.000 0.696 0.304
Rh 0.304 0.696 0.000
Rh 0.649 0.157 0.649
Rh 0.000 0.000 0.500
Rh 0.500 0.000 0.000
Rh 0.351 0.351 0.843
Rh 0.351 0.843 0.351
Cd 0.103 0.103 0.103
Cd 0.897 0.897 0.897



! Pm3Cd3Rh2 PBE optimized geometry; values from VASP
! crystal system = monoclinic
! DFT formation energy = -43.5 kJ/mol of atoms
! M_tot = 0.0 μB/f.u.
! Fermi-level density of states = 0.772 states/eV/atom
&SYSTEM
  ibrav = 0, nat = 8, ntyp = 3
/
ATOMIC_SPECIES
Cd 112.41 Cd.upf
Rh 102.91 Rh.upf
Pm 145.00 Pm.upf
CELL_PARAMETERS angstrom
4.483 0.000 -1.301
-0.277 5.114 -0.954
0.053 -0.006 8.558
ATOMIC_POSITIONS crystal
Cd 0.500 0.500 0.000
Cd 0.369 0.913 0.739
Cd 0.631 0.087 0.261
Rh 0.778 0.871 0.555
Rh 0.222 0.129 0.445
Pm 0.831 0.405 0.663
Pm 0.000 0.000 0.000
Pm 0.169 0.595 0.337



! Pm4CdRh5 PBE optimized geometry; values from VASP
! crystal system = tetragonal
! DFT formation energy = -55.3 kJ/mol of atoms
! M_tot = 0.0 μB/f.u.
! Fermi-level density of states = 0.612 states/eV/atom
&SYSTEM
  ibrav = 0, nat = 10, ntyp = 3
/
ATOMIC_SPECIES
Pm 145.00 Pm.upf
Rh 102.91 Rh.upf
Cd 112.41 Cd.upf
CELL_PARAMETERS angstrom
-1.706 -2.815 -1.239
1.282 0.636 -3.212
13.307 -9.567 3.418
ATOMIC_POSITIONS crystal
Pm 0.000 0.000 0.604
Pm 0.000 0.000 0.396
Pm 0.000 0.000 0.187
Pm 0.000 0.000 0.813
Rh 0.500 0.500 0.090
Rh 0.500 0.500 0.707
Rh 0.500 0.500 0.500
Rh 0.500 0.500 0.910
Rh 0.500 0.500 0.293
Cd 0.000 0.000 0.000